Entry 1:
## HfV2H6 (PBE)

Data for a relaxed HfV2H6 crystal.

a b c (Å): 4.811 4.811 5.951
angles (deg): 121.09 121.09 41.94
Sites, in units of the cell vectors:
Hf (0.000, 0.000, 0.000)
V (0.182, 0.182, 0.568)
V (0.818, 0.818, 0.432)
H (0.046, 0.046, 0.710)
H (0.259, 0.259, 0.340)
H (0.352, 0.352, 0.927)
H (0.648, 0.648, 0.073)
H (0.741, 0.741, 0.660)
H (0.954, 0.954, 0.290)

Computed properties:
crystal system = monoclinic
calculated volume = 8.5 A^3/atom
total moment = 0.00 μB per atom
final energy = -5.513 eV per atom


Entry 2:
## MnTcBr2 (PBE)

Data for a relaxed MnTcBr2 crystal.

a b c (Å): 6.731 6.731 6.731
angles (deg): 131.85 131.85 70.47
Sites, in units of the cell vectors:
Mn (0.000, 0.000, 0.000)
Mn (0.750, 0.250, 0.500)
Tc (0.250, 0.750, 0.500)
Tc (0.500, 0.500, 0.000)
Br (0.104, 0.625, 0.979)
Br (0.375, 0.354, 0.479)
Br (0.646, 0.125, 0.021)
Br (0.875, 0.896, 0.521)

Computed properties:
crystal system = tetragonal
excess energy over the best structure of this formula in the dataset = 928.9 meV per atom
formation energy from raw total energies = 1.01 eV per atom
calculated volume = 20.7 A^3/atom
total moment = 0.00 μB per atom


Entry 3:
## AcNp3Tl4O12 (PBE)

Data for a relaxed AcNp3Tl4O12 crystal.

a b c (Å): 7.657 7.657 7.657
angles (deg): 109.47 109.47 109.47
Sites, in units of the cell vectors:
Ac (0.000, 0.000, 0.000)
Np (0.000, 0.500, 0.500)
Np (0.500, 0.000, 0.500)
Np (0.500, 0.500, 0.000)
Tl (0.000, 0.000, 0.500)
Tl (0.000, 0.500, 0.000)
Tl (0.500, 0.000, 0.000)
Tl (0.500, 0.500, 0.500)
O (0.000, 0.277, 0.277)
O (0.000, 0.723, 0.723)
O (0.250, 0.500, 0.750)
O (0.250, 0.750, 0.500)
O (0.277, 0.000, 0.277)
O (0.277, 0.277, 0.000)
O (0.500, 0.250, 0.750)
O (0.500, 0.750, 0.250)
O (0.723, 0.000, 0.723)
O (0.723, 0.723, 0.000)
O (0.750, 0.250, 0.500)
O (0.750, 0.500, 0.250)

Computed properties:
crystal system = cubic
formation energy from raw total energies = -2.31 eV per atom
calculated volume = 17.3 A^3/atom
total moment = 0.20 μB per atom


Entry 4:
## Sc2TlTe (PBE)

Data for a relaxed Sc2TlTe crystal.

a b c (Å): 5.134 5.134 5.134
angles (deg): 60.00 60.00 60.00
Sites, in units of the cell vectors:
Sc (0.250, 0.250, 0.250)
Sc (0.750, 0.750, 0.750)
Tl (0.000, 0.000, 0.000)
Te (0.500, 0.500, 0.500)

Computed properties:
crystal system = cubic
excess energy over the best structure of this formula in the dataset = 225.3 meV per atom
formation energy from raw total energies = -0.42 eV per atom
calculated volume = 23.9 A^3/atom
total moment = 0.00 μB per atom